Crystalline HoAlGaAu3 at its relaxed geometry. Source: the Alexandria database, functional PBE.

The calculation puts the total moment at 0.000 μB/f.u. The calculated density is 10.277 g/cm3. Its uncorrected energy is -3.88 eV per atom. Its formation energy is -0.348 eV per atom. Its density of states at the Fermi level is 0.644 states/eV/atom.

a = 5.7647 Å, b = 16.6979 Å, c = 5.7245 Å
α = 90.00°, β = 90.00°, γ = 90.00°
With the nearest neighbours (Å) after each atom.
Space group Cmcm (No. 63)
One atom of each set of equivalent atoms:
Ho 0.0000 0.1769 0.2500  4 Au 3.09-3.15, 2 Ga 3.11, 2 Al 3.19
Al 0.0000 0.4046 0.7500  5 Au 2.49-2.59
Ga 0.0000 0.1047 0.7500  5 Au 2.52-2.67
Au 0.0000 0.2557 0.7500  1 Al 2.49, 1 Ga 2.52
Au 0.2477 0.0000 0.0000  2 Al 2.59, 2 Ga 2.67, 3 Au 2.86

---

Crystalline HoAlGaAu at its relaxed geometry. Source: the Alexandria database, functional PBE.

The calculation puts the total moment at 0.000 μB/f.u. The calculated density is 9.665 g/cm3. Its uncorrected energy is -4.20 eV per atom. Its formation energy is -0.543 eV per atom. Its density of states at the Fermi level is 0.063 states/eV/atom.

a = 6.8052 Å, b = 6.8052 Å, c = 6.8052 Å
α = 90.00°, β = 90.00°, γ = 90.00°
With the nearest neighbours (Å) after each atom.
Space group F-43m (No. 216)
One atom of each set of equivalent atoms:
Ho 0.0000 0.0000 0.0000  4 Ga 2.95, 4 Au 2.95
Al 0.0000 0.0000 0.5000  4 Ga 2.95, 4 Au 2.95
Ga 0.2500 0.2500 0.2500  4 Al 2.95, 4 Ho 2.95
Au 0.2500 0.2500 0.7500  4 Ho 2.95, 4 Al 2.95

---

Crystalline HoAl2GaAu4 at its relaxed geometry. Source: the Alexandria database, functional PBE.

The calculation puts the total moment at 0.000 μB/f.u. The calculated density is 11.718 g/cm3. Its uncorrected energy is -4.01 eV per atom. Its formation energy is -0.485 eV per atom. Its density of states at the Fermi level is 0.374 states/eV/atom.

a = 4.3674 Å, b = 4.3674 Å, c = 27.7032 Å
α = 90.00°, β = 90.00°, γ = 120.00°
With the nearest neighbours (Å) after each atom.
Space group R-3m (No. 166, hexagonal axes)
One atom of each set of equivalent atoms:
Ho 0.0000 0.0000 0.0000  6 Au 3.02
Al 0.0000 0.0000 0.2473  6 Au 2.62-2.73
Ga 0.0000 0.0000 0.5000  8 Au 2.78-2.96
Au 0.0000 0.0000 0.1241  3 Al 2.73, 3 Ga 2.78
Au 0.0000 0.0000 0.3933  3 Al 2.62

---

Crystalline Ho2Al4GaAu3 at its relaxed geometry. Source: the Alexandria database, functional PBE.

The calculation puts the total moment at 0.000 μB/f.u. The calculated density is 9.336 g/cm3. Its uncorrected energy is -4.35 eV per atom. Its formation energy is -0.649 eV per atom. Its density of states at the Fermi level is 0.375 states/eV/atom.

a = 4.2306 Å, b = 4.2306 Å, c = 10.9157 Å
α = 90.00°, β = 90.00°, γ = 90.00°
With the nearest neighbours (Å) after each atom.
Space group P-4m2 (No. 115)
One atom of each set of equivalent atoms:
Ho 0.0000 0.5000 0.2471  8 Al 3.22-3.48, 6 Au 3.25-3.43, 2 Ga 3.43
Al 0.0000 0.0000 0.5000  4 Au 2.59
Al 0.0000 0.5000 0.8615  3 Au 2.46-2.60, 2 Ga 2.60
Al 0.5000 0.5000 0.5000  4 Au 2.59
Ga 0.5000 0.5000 0.0000  4 Al 2.60
Au 0.0000 0.0000 0.0000  4 Al 2.60
Au 0.0000 0.5000 0.6365  5 Al 2.46-2.59

---

Crystalline Ho2AlGa4Au3 at its relaxed geometry. Source: the Alexandria database, functional PBE.

The calculation puts the total moment at 0.000 μB/f.u. The calculated density is 10.434 g/cm3. Its uncorrected energy is -4.06 eV per atom. Its formation energy is -0.576 eV per atom. Its density of states at the Fermi level is 0.607 states/eV/atom.

a = 4.1016 Å, b = 4.1016 Å, c = 11.6036 Å
α = 90.00°, β = 90.00°, γ = 90.00°
With the nearest neighbours (Å) after each atom.
Space group P-4m2 (No. 115)
One atom of each set of equivalent atoms:
Ho 0.0000 0.5000 0.2410  4 Ga 3.12, 6 Au 3.19-3.47, 2 Al 3.47
Al 0.5000 0.5000 0.0000  4 Ga 2.63, 4 Au 2.90
Ga 0.0000 0.0000 0.5000  4 Au 2.65, 4 Ga 2.90
Ga 0.0000 0.5000 0.8584  3 Au 2.49-2.63, 2 Al 2.63
Ga 0.5000 0.5000 0.5000  4 Au 2.65, 4 Ga 2.90
Au 0.0000 0.0000 0.0000  4 Ga 2.63, 4 Al 2.90
Au 0.0000 0.5000 0.6442  5 Ga 2.49-2.65

---

Crystalline Ho2Al3GaAu4 at its relaxed geometry. Source: the Alexandria database, functional PBE.

The calculation puts the total moment at 0.000 μB/f.u. The calculated density is 10.653 g/cm3. Its uncorrected energy is -4.32 eV per atom. Its formation energy is -0.664 eV per atom. Its density of states at the Fermi level is 0.317 states/eV/atom.

a = 4.3201 Å, b = 4.3201 Å, c = 10.5938 Å
α = 90.00°, β = 90.00°, γ = 90.00°
With the nearest neighbours (Å) after each atom.
Space group P-4m2 (No. 115)
One atom of each set of equivalent atoms:
Ho 0.0000 0.5000 0.2484  8 Au 3.29-3.40, 6 Al 3.29-3.43, 2 Ga 3.43
Al 0.0000 0.5000 0.8680  5 Au 2.45-2.57
Al 0.5000 0.5000 0.5000  4 Au 2.60
Ga 0.0000 0.0000 0.5000  4 Au 2.60
Au 0.0000 0.0000 0.0000  4 Al 2.57
Au 0.0000 0.5000 0.6367  3 Al 2.45-2.60, 2 Ga 2.60
Au 0.5000 0.5000 0.0000  4 Al 2.57

---

Crystalline K2AlGaAu6 at its relaxed geometry. Source: the Alexandria database, functional PBE.

The calculation puts the total moment at 0.000 μB/f.u. The calculated density is 9.142 g/cm3. Its uncorrected energy is -3.18 eV per atom. Its formation energy is -0.314 eV per atom. Its density of states at the Fermi level is 0.315 states/eV/atom.

a = 7.0128 Å, b = 7.0162 Å, c = 7.0355 Å
α = 60.21°, β = 60.36°, γ = 60.33°
With the nearest neighbours (Å) after each atom.
Space group P-1 (No. 2)
One atom of each set of equivalent atoms:
K 0.2074 0.2070 0.2085  12 Au 3.45-3.79, 1 Ga 3.56
Al 0.5000 0.5000 0.5000  6 Au 2.58-2.59
Ga 0.0000 0.0000 0.0000  6 Au 2.56-2.57
Au 0.2502 0.2471 0.6572  1 Ga 2.56, 1 Al 2.58
Au 0.2501 0.6547 0.2467  1 Ga 2.57, 1 Al 2.59, 1 Au 2.86
Au 0.3431 0.7501 0.7529  1 Ga 2.57, 1 Al 2.59, 1 Au 2.86

---

Crystalline KAlGa2Au4 at its relaxed geometry. Source: the Alexandria database, functional PBE.

The calculation puts the total moment at 0.000 μB/f.u. The calculated density is 9.289 g/cm3. Its uncorrected energy is -3.28 eV per atom. Its formation energy is -0.278 eV per atom. Its density of states at the Fermi level is 0.321 states/eV/atom.

a = 4.4489 Å, b = 4.4489 Å, c = 31.0817 Å
α = 90.00°, β = 90.00°, γ = 120.00°
With the nearest neighbours (Å) after each atom.
Space group R-3m (No. 166, hexagonal axes)
One atom of each set of equivalent atoms:
K 0.0000 0.0000 0.0000  6 Ga 3.61, 6 Au 3.63
Al 0.0000 0.0000 0.5000  8 Au 2.62-2.68
Ga 0.0000 0.0000 0.2519  3 Au 2.57
Au 0.0000 0.0000 0.1425  3 Al 2.68, 3 Au 2.98
Au 0.0000 0.0000 0.4157  3 Ga 2.57, 1 Al 2.62